DFT (PBE) results for SrGa2Cl6 after structural relaxation.

Cell: 6.860 9.492 9.492 Å, 82.26 83.08 83.08°
Positions (direct):
Cl 0.409 0.717 0.609
Cl 0.874 0.195 0.033
Cl 0.091 0.391 0.283
Cl 0.336 0.410 0.864
Cl 0.664 0.590 0.136
Cl 0.909 0.609 0.717
Cl 0.836 0.864 0.410
Cl 0.374 0.033 0.195
Cl 0.126 0.805 0.967
Cl 0.626 0.967 0.805
Cl 0.164 0.136 0.590
Cl 0.591 0.283 0.391
Ga 0.761 0.487 0.340
Ga 0.739 0.660 0.513
Ga 0.239 0.513 0.660
Ga 0.261 0.340 0.487
Sr 0.750 0.918 0.082
Sr 0.250 0.082 0.918

Output
V in Å³/f.u.: 302.3
Space group: No. 15
Energy relative to the lowest polymorph listed for this composition in meV/atom: 0
Magnetization in Bohr magnetons per cell: 0.0
Crystal system: monoclinic
Energy relative to the elements, uncorrected in eV/atom: -1.41
Total DFT energy (no corrections) in eV per atom: -3.50